1.
Zr3PCl | PBE | optimized geometry

## Properties
The total energy is -32.85 eV per formula unit. The symmetry is Pm-3m (221). For the theoretical density, the calculation gives 4.6 g/cm3.

Structure (POSCAR):
```
Zr3PCl
1.0
4.956 0.000 0.000
0.000 4.956 0.000
0.000 0.000 4.956
Zr P Cl
3 1 1
Direct
0.000 0.000 0.500
0.000 0.500 0.000
0.500 0.000 0.000
0.000 0.000 0.000
0.500 0.500 0.500
```


2.
ZrPCl2 | PBE | optimized geometry

## Properties
The total energy is -18.41 eV per formula unit. The symmetry is P4/mmm (123). For the theoretical density, the calculation gives 4.2 g/cm3.

Structure (POSCAR):
```
ZrPCl2
1.0
4.079 0.000 0.000
0.000 4.079 0.000
0.000 0.000 4.608
Zr P Cl
1 1 2
Direct
0.000 0.000 0.000
0.500 0.500 0.000
0.000 0.500 0.500
0.500 0.000 0.500
```


3.
ZrPCl2 | PBE | optimized geometry

## Properties
The total energy is -20.17 eV per formula unit. The symmetry is R3m (160). For the theoretical density, the calculation gives 3.7 g/cm3.

Structure (POSCAR):
```
ZrPCl2
1.0
1.697 0.980 8.761
-1.697 0.980 8.761
0.000 -1.960 8.761
Zr P Cl
1 1 2
Direct
0.000 0.000 0.000
0.735 0.735 0.735
0.267 0.267 0.267
0.477 0.477 0.477
```


Q: Among the records above, which one has the lowest theoretical density?
A: number 3


Q: Which of these has the highest theoretical density?
A: Zr3PCl